! Tb4Se3S2 | Alexandria | PBE | relaxed; values from VASP
&SYSTEM
  ibrav = 0, nat = 9, ntyp = 3
/
ATOMIC_SPECIES
Tb 158.93 Tb.upf
Se 78.96 Se.upf
S 32.06 S.upf
CELL_PARAMETERS angstrom
-3.5740 -1.0087 -0.8334
2.6405 -4.0724 2.2960
-3.8346 5.2304 10.1142
ATOMIC_POSITIONS crystal
Tb 0.5848 0.1696 0.1682
Tb 0.1156 0.2312 0.6199
Tb 0.8844 0.7688 0.3801
Tb 0.4152 0.8304 0.8318
Se 0.3904 0.7808 0.5858
Se 0.0000 0.0000 0.0000
Se 0.6096 0.2192 0.4142
S 0.3029 0.6058 0.2199
S 0.6971 0.3942 0.7801
! **Theoretical density**: 6.84 g/cm3
! **E_form (uncorrected)**: -1.81 eV/atom
! **DFT total energy**: -5.95 eV per atom
! **Calculated volume**: 227 Å³/cell


! Tb4Se5S | Alexandria | PBE | relaxed; values from VASP
&SYSTEM
  ibrav = 0, nat = 10, ntyp = 3
/
ATOMIC_SPECIES
Tb 158.93 Tb.upf
Se 78.96 Se.upf
S 32.06 S.upf
CELL_PARAMETERS angstrom
4.0958 0.0000 0.0000
0.0000 8.1916 -0.5859
-2.0479 -1.7894 8.7692
ATOMIC_POSITIONS crystal
Tb 0.3234 0.8846 0.6468
Tb 0.9973 0.7442 0.9946
Tb 0.6766 0.1154 0.3532
Tb 0.0027 0.2558 0.0054
Se 0.8381 0.6634 0.6763
Se 0.8377 0.1435 0.6755
Se 0.1623 0.8565 0.3245
Se 0.5000 0.5000 0.0000
Se 0.1619 0.3366 0.3237
S 0.5000 0.0000 0.0000
! **Theoretical density**: 6.09 g/cm3
! **E_form (uncorrected)**: -1.84 eV/atom
! **DFT total energy**: -5.85 eV per atom
! **Calculated volume**: 290 Å³/cell


! Tb4Se4S | Alexandria | PBE | relaxed; values from VASP
&SYSTEM
  ibrav = 0, nat = 9, ntyp = 3
/
ATOMIC_SPECIES
Tb 158.93 Tb.upf
Se 78.96 Se.upf
S 32.06 S.upf
CELL_PARAMETERS angstrom
-0.4112 2.5207 5.1756
5.7527 -0.5067 3.9218
1.9617 6.6985 0.1114
ATOMIC_POSITIONS crystal
Tb 0.7099 0.3875 0.1926
Tb 0.2901 0.6125 0.8074
Tb 0.9025 0.8074 0.3875
Tb 0.0975 0.1926 0.6125
Se 0.7949 0.6108 0.7995
Se 0.2051 0.3892 0.2005
Se 0.5944 0.2005 0.6108
Se 0.4056 0.7995 0.3892
S 0.0000 0.0000 0.0000
! **Theoretical density**: 7.00 g/cm3
! **E_form (uncorrected)**: -1.91 eV/atom
! **DFT total energy**: -5.97 eV per atom
! **Calculated volume**: 233 Å³/cell